VASP calculation (GGA-PBEsol) on crystalline TlHgMo2 at its relaxed geometry.

Output
As for the total energy: -6.0090 eV/atom. The calculation puts the total moment at 0.00 μB/f.u. The energy of formation from the pure elements is 0.6742 eV per atom.

Cell lengths 2.858, 5.095, 5.156 Å; angles 94.41, 90.00, 106.29 degrees
Element x y z (fractional)
Hg  0.253  0.506  0.749
Mo  0.752  0.504  0.228
Mo  0.996  0.991  0.019
Tl  0.500  0.000  0.504

---

VASP calculation (GGA-PBEsol) on crystalline TlHgMo2 at its relaxed geometry.

Output
As for the total energy: -5.9027 eV/atom. The calculation puts the total moment at 0.00 μB/f.u. The energy of formation from the pure elements is 0.7805 eV per atom.

Cell lengths 2.848, 2.848, 8.800 Å; angles 90.00, 90.00, 90.00 degrees
Element x y z (fractional)
Hg  0.500  0.500  0.500
Mo  0.000  0.000  0.256
Tl  0.500  0.500  0.000
Mo  0.000  0.000  0.744

---

VASP calculation (GGA-PBEsol) on crystalline TlHgMo2 at its relaxed geometry.

Output
As for the total energy: -5.9902 eV/atom. The calculation puts the total moment at 0.00 μB/f.u. The energy of formation from the pure elements is 0.6930 eV per atom.

Cell lengths 4.114, 4.114, 5.089 Å; angles 113.84, 113.84, 90.00 degrees
Element x y z (fractional)
Tl  0.500  0.500  0.000
Hg  0.250  0.750  0.500
Mo  0.750  0.250  0.500
Mo  0.000  0.000  0.000

---

VASP calculation (GGA-PBEsol) on crystalline TlHgMo2 at its relaxed geometry.

Output
As for the total energy: -5.8068 eV/atom. The calculation puts the total moment at 0.00 μB/f.u. The energy of formation from the pure elements is 0.8764 eV per atom.

Cell lengths 4.675, 4.675, 4.675 Å; angles 60.00, 60.00, 60.00 degrees
Element x y z (fractional)
Tl  0.250  0.250  0.250
Mo  0.750  0.750  0.750
Hg  0.500  0.500  0.500
Mo  0.000  0.000  0.000

---

VASP calculation (GGA-PBEsol) on crystalline TlHgMo at its relaxed geometry.

Output
As for the total energy: -3.7883 eV/atom. The calculation puts the total moment at 2.71 μB/f.u. The energy of formation from the pure elements is 1.2000 eV per atom.

Cell lengths 4.614, 4.614, 4.614 Å; angles 60.00, 60.00, 60.00 degrees
Element x y z (fractional)
Mo  0.500  0.500  0.500
Hg  0.000  0.000  0.000
Tl  0.250  0.250  0.250

---

VASP calculation (GGA-PBEsol) on crystalline HgMoW at its relaxed geometry.

Output
As for the total energy: -8.2714 eV/atom. The calculation puts the total moment at 0.00 μB/f.u. The energy of formation from the pure elements is 0.4426 eV per atom.

Cell lengths 2.782, 2.782, 7.162 Å; angles 97.50, 97.50, 109.12 degrees
Element x y z (fractional)
Mo  0.676  0.676  0.352
Hg  0.001  0.001  0.001
W  0.324  0.324  0.647

---

VASP calculation (GGA-PBEsol) on crystalline YHg2Mo at its relaxed geometry.

Output
As for the total energy: -4.7534 eV/atom. The calculation puts the total moment at 0.00 μB/f.u. The energy of formation from the pure elements is 0.1775 eV per atom.

Cell lengths 4.187, 4.187, 5.496 Å; angles 112.39, 112.39, 90.00 degrees
Element x y z (fractional)
Mo  0.500  0.500  0.000
Hg  0.750  0.250  0.500
Hg  0.000  0.000  0.000
Y  0.250  0.750  0.500

---

VASP calculation (GGA-PBEsol) on crystalline YHgMo2 at its relaxed geometry.

Output
As for the total energy: -7.2561 eV/atom. The calculation puts the total moment at 0.00 μB/f.u. The energy of formation from the pure elements is 0.4751 eV per atom.

Cell lengths 2.828, 5.377, 5.687 Å; angles 116.13, 100.80, 97.44 degrees
Element x y z (fractional)
Mo  0.500  0.500  0.500
Mo  0.000  0.000  0.500
Y  0.500  0.000  0.000
Hg  0.000  0.500  0.000

---

Please write out number 5 again, unchanged.
VASP calculation (GGA-PBEsol) on crystalline TlHgMo at its relaxed geometry.

Output
As for the total energy: -3.7883 eV/atom. The calculation puts the total moment at 2.71 μB/f.u. The energy of formation from the pure elements is 1.2000 eV per atom.

Cell lengths 4.614, 4.614, 4.614 Å; angles 60.00, 60.00, 60.00 degrees
Element x y z (fractional)
Mo  0.500  0.500  0.500
Hg  0.000  0.000  0.000
Tl  0.250  0.250  0.250

---

What is the formula in the eighth record?
YHgMo2

---

Repeat the fourth record exactly.
VASP calculation (GGA-PBEsol) on crystalline TlHgMo2 at its relaxed geometry.

Output
As for the total energy: -5.8068 eV/atom. The calculation puts the total moment at 0.00 μB/f.u. The energy of formation from the pure elements is 0.8764 eV per atom.

Cell lengths 4.675, 4.675, 4.675 Å; angles 60.00, 60.00, 60.00 degrees
Element x y z (fractional)
Tl  0.250  0.250  0.250
Mo  0.750  0.750  0.750
Hg  0.500  0.500  0.500
Mo  0.000  0.000  0.000